Record 1
Ba3SrSe | Alexandria via LeMat-Bulk | meta-GGA SCAN | PBEsol geometry; total moment = 0.000 μB per atom; uncorrected formation energy = -0.821 eV per atom
1.0
6.4022 0.0000 0.0000
0.0000 6.4022 0.0000
0.0000 0.0000 6.4022
Ba Sr Se
3 1 1
direct
0.0000 0.0000 0.5000
0.0000 0.5000 0.0000
0.5000 0.0000 0.0000
0.5000 0.5000 0.5000
0.0000 0.0000 0.0000

Record 2
LiMn2B2O6 | Alexandria via LeMat-Bulk | meta-GGA SCAN | PBEsol geometry; total moment = 0.818 μB per atom; uncorrected formation energy = -2.331 eV per atom; ΔE to the lowest computed polymorph = 0.0113 eV per atom
1.0
5.2709 0.0000 0.0000
0.0000 8.9295 0.0000
-0.2187 0.0000 9.9639
Li Mn B O
4 8 8 24
direct
0.0000 0.0050 0.0000
0.0000 0.9950 0.5000
0.7736 0.4887 0.7468
0.7736 0.5113 0.2468
0.2891 0.3170 0.2185
0.2891 0.6830 0.7185
0.4761 0.1742 0.9569
0.4761 0.8258 0.4569
0.7852 0.1536 0.7099
0.7852 0.8464 0.2099
0.9829 0.3443 0.4681
0.9829 0.6557 0.9681
0.2979 0.3430 0.7125
0.2979 0.6570 0.2125
0.4743 0.1631 0.4613
0.4743 0.8369 0.9613
0.8135 0.1794 0.2072
0.8135 0.8206 0.7072
0.9637 0.3134 0.9572
0.9637 0.6866 0.4572
0.0415 0.3295 0.6690
0.0415 0.6705 0.1690
0.1877 0.2901 0.0300
0.1877 0.7099 0.5300
0.3441 0.0336 0.4666
0.3441 0.9664 0.9666
0.3604 0.2935 0.4104
0.3604 0.7065 0.9104
0.4214 0.4749 0.7064
0.4214 0.5251 0.2064
0.4239 0.2149 0.7609
0.4239 0.7851 0.2609
0.5732 0.2004 0.1518
0.5732 0.7996 0.6518
0.7287 0.1721 0.5100
0.7287 0.8279 0.0100
0.8495 0.1795 0.9085
0.8495 0.8205 0.4085
0.8624 0.4489 0.9339
0.8624 0.5511 0.4339
0.9261 0.3078 0.2652
0.9261 0.6922 0.7652
0.9356 0.0467 0.1980
0.9356 0.9533 0.6980

Record 3
InPtF3 | Alexandria via LeMat-Bulk | meta-GGA SCAN | PBEsol geometry; total moment = 0.110 μB per atom; uncorrected formation energy = -1.082 eV per atom
1.0
4.2054 0.0000 0.0000
0.0000 4.2054 0.0000
0.0000 0.0000 4.2054
In Pt F
1 1 3
direct
0.0000 0.0000 0.0000
0.5000 0.5000 0.5000
0.0000 0.0000 0.5000
0.0000 0.5000 0.0000
0.5000 0.0000 0.0000

Record 4
LiMn2Fe | Alexandria via LeMat-Bulk | meta-GGA SCAN | PBEsol geometry; total moment = 0.582 μB per atom; ΔE to the lowest computed polymorph = 0.0148 eV per atom; formation energy = 232 meV/atom
1.0
1.3422 -1.9695 0.0000
1.3422 1.9695 0.0000
0.0000 0.0000 8.3764
Li Mn Fe
1 2 1
direct
0.0000 0.0000 0.0000
0.0000 0.0000 0.4959
0.5000 0.5000 0.2675
0.5000 0.5000 0.7350

Record 5
Li2TlHg | Alexandria via LeMat-Bulk | meta-GGA SCAN | PBEsol geometry; total moment = 0.000 μB per atom; formation energy = -382 meV/atom
1.0
4.6187 0.0000 0.0000
0.0000 4.6187 0.0000
0.0000 0.0000 3.4738
Li Tl Hg
2 1 1
direct
0.0000 0.5000 0.0000
0.5000 0.0000 0.0000
0.0000 0.0000 0.5000
0.5000 0.5000 0.5000

Record 6
La3Rh | Alexandria via LeMat-Bulk | meta-GGA SCAN | PBEsol geometry; total moment = 0.000 μB per atom; formation energy = -343 meV/atom
1.0
3.7133 0.0000 0.0000
0.0000 3.7024 0.0000
-0.8741 0.0000 8.1693
La Rh
3 1
direct
0.0000 0.0000 0.0000
0.4295 0.5000 0.6936
0.5705 0.5000 0.3064
0.0000 0.0000 0.5000

Record 7
Mg2ReTc | Alexandria via LeMat-Bulk | meta-GGA SCAN | PBEsol geometry; total moment = 0.000 μB per atom; ΔE to the lowest computed polymorph = 0.2864 eV per atom; formation energy = 258 meV/atom
1.0
2.6505 0.0000 0.0000
0.0000 4.4747 0.0000
0.0000 0.0000 5.2395
Mg Re Tc
2 1 1
direct
0.0000 0.0000 0.2500
0.0000 0.0000 0.7500
0.5000 0.5000 0.0000
0.5000 0.5000 0.5000

Record 8
LaSbW2 | Alexandria via LeMat-Bulk | meta-GGA SCAN | PBEsol geometry; total moment = 0.000 μB per atom; uncorrected formation energy = 0.143 eV per atom
1.0
3.2746 0.0000 0.0000
0.0000 3.2746 0.0000
0.0000 0.0000 7.8242
La Sb W
1 1 2
direct
0.0000 0.0000 0.0000
0.5000 0.5000 0.3289
0.0000 0.0000 0.5494
0.5000 0.5000 0.7231

Record 9
FeCuRh2 | Alexandria via LeMat-Bulk | meta-GGA SCAN | PBEsol geometry; total moment = 1.101 μB per atom; formation energy = -46 meV/atom
1.0
4.4598 0.0000 0.0000
0.0000 2.6450 0.0000
-1.6199 0.0000 4.2963
Fe Cu Rh
1 1 2
direct
0.0000 0.0000 0.0000
0.0000 0.5000 0.5000
0.5000 0.0000 0.5000
0.5000 0.5000 0.0000

Record 10
KNaOs2 | Alexandria via LeMat-Bulk | meta-GGA SCAN | PBEsol geometry; total moment = 0.903 μB per atom; formation energy = 2468 meV/atom
1.0
0.0000 3.3608 3.3608
3.3608 0.0000 3.3608
3.3608 3.3608 0.0000
K Na Os
1 1 2
direct
0.0000 0.0000 0.0000
0.5000 0.5000 0.5000
0.2500 0.2500 0.2500
0.7500 0.7500 0.7500

Record 11
ScTlCdAg2 | Alexandria via LeMat-Bulk | meta-GGA SCAN | PBEsol geometry; total moment = 0.175 μB per atom; formation energy = 685 meV/atom
1.0
5.0704 0.0000 0.0000
0.0000 5.0704 0.0000
0.0000 0.0000 5.2068
Sc Tl Cd Ag
1 1 1 2
direct
0.0000 0.0000 0.0000
0.5000 0.5000 0.5000
0.5000 0.5000 0.0000
0.0000 0.5000 0.5000
0.5000 0.0000 0.5000

Record 12
ZnAuCl | Alexandria via LeMat-Bulk | meta-GGA SCAN | PBEsol geometry; total moment = 0.000 μB per atom; uncorrected formation energy = -0.274 eV per atom
1.0
0.0000 2.5346 6.1320
1.7686 0.0000 6.1320
1.7686 2.5346 0.0000
Zn Au Cl
1 1 1
direct
0.0000 0.0000 0.0000
0.6456 0.6456 0.3544
0.3688 0.3688 0.6312

Record 13
LiGdSe2 | Alexandria via LeMat-Bulk | meta-GGA SCAN | PBEsol geometry; total moment = 1.749 μB per atom; uncorrected formation energy = -1.856 eV per atom
1.0
-2.8347 2.8347 5.7266
2.8347 -2.8347 5.7266
2.8347 2.8347 -5.7266
Li Gd Se
2 2 4
direct
0.3750 0.6250 0.7500
0.6250 0.3750 0.2500
0.1250 0.8750 0.2500
0.8750 0.1250 0.7500
0.1234 0.3734 0.7500
0.3734 0.1234 0.2500
0.6266 0.8766 0.7500
0.8766 0.6266 0.2500

Record 14
RbCa2CrP | Alexandria via LeMat-Bulk | meta-GGA SCAN | PBEsol geometry; total moment = 0.893 μB per atom; formation energy = 1284 meV/atom
1.0
5.8459 0.0000 0.0000
0.0000 5.8459 0.0000
0.0000 0.0000 5.2188
Rb Ca Cr P
1 2 1 1
direct
0.0000 0.0000 0.0000
0.0000 0.5000 0.0000
0.5000 0.0000 0.0000
0.5000 0.5000 0.5000
0.0000 0.0000 0.5000

Record 15
TiCdReP2 | Alexandria via LeMat-Bulk | meta-GGA SCAN | PBEsol geometry; total moment = 0.409 μB per atom; formation energy = 2098 meV/atom
1.0
4.6464 0.0000 0.0000
0.0000 4.6464 0.0000
0.0000 0.0000 4.8815
Ti Cd Re P
1 1 1 2
direct
0.0000 0.0000 0.0000
0.0000 0.0000 0.5000
0.5000 0.5000 0.0000
0.0000 0.5000 0.5000
0.5000 0.0000 0.5000

Record 16
GaFe3 | Alexandria via LeMat-Bulk | meta-GGA SCAN | PBEsol geometry; total moment = 1.802 μB per atom; formation energy = -203 meV/atom
1.0
3.5942 0.0000 0.0000
0.0000 3.5942 0.0000
0.0000 0.0000 3.5942
Ga Fe
1 3
direct
0.0000 0.0000 0.0000
0.0000 0.5000 0.5000
0.5000 0.0000 0.5000
0.5000 0.5000 0.0000

Record 17
KMnRe2 | Alexandria via LeMat-Bulk | meta-GGA SCAN | PBEsol geometry; total moment = 0.000 μB per atom; ΔE to the lowest computed polymorph = 1.2005 eV per atom; formation energy = 1930 meV/atom
1.0
0.0000 3.0806 3.0806
3.0806 0.0000 3.0806
3.0806 3.0806 0.0000
K Mn Re
1 1 2
direct
0.0000 0.0000 0.0000
0.5000 0.5000 0.5000
0.2500 0.2500 0.2500
0.7500 0.7500 0.7500

Record 18
BeTcN2F | Alexandria via LeMat-Bulk | meta-GGA SCAN | PBEsol geometry; total moment = 0.423 μB per atom; uncorrected formation energy = 0.092 eV per atom
1.0
3.6473 0.0000 0.0000
0.0000 3.6473 0.0000
0.0000 0.0000 3.0880
Be Tc N F
1 1 2 1
direct
0.0000 0.0000 0.0000
0.5000 0.5000 0.5000
0.0000 0.5000 0.0000
0.5000 0.0000 0.0000
0.0000 0.0000 0.5000

Record 19
Ti2CrGe2 | Alexandria via LeMat-Bulk | meta-GGA SCAN | PBEsol geometry; total moment = 0.000 μB per atom; formation energy = -529 meV/atom
1.0
6.3869 0.0000 0.0000
0.0000 6.3869 0.0000
0.0000 0.0000 3.5656
Ti Cr Ge
4 2 4
direct
0.1687 0.3313 0.0000
0.3313 0.8313 0.0000
0.6687 0.1687 0.0000
0.8313 0.6687 0.0000
0.0000 0.0000 0.5000
0.5000 0.5000 0.5000
0.1375 0.6375 0.5000
0.3625 0.1375 0.5000
0.6375 0.8625 0.5000
0.8625 0.3625 0.5000

Record 20
KYTl2 | Alexandria via LeMat-Bulk | meta-GGA SCAN | PBEsol geometry; total moment = 0.000 μB per atom; ΔE to the lowest computed polymorph = 0.3176 eV per atom; formation energy = -79 meV/atom
1.0
-2.3707 2.3707 5.1145
2.3707 -2.3707 5.1145
2.3707 2.3707 -5.1145
K Y Tl
1 1 2
direct
0.0000 0.0000 0.0000
0.2500 0.7500 0.5000
0.5000 0.5000 0.0000
0.7500 0.2500 0.5000

Record 21
SbBr2Cl | Alexandria via LeMat-Bulk | meta-GGA SCAN | PBEsol geometry; total moment = 0.000 μB per atom; uncorrected formation energy = -0.030 eV per atom; ΔE to the lowest computed polymorph = 0.6161 eV per atom
1.0
2.6473 -5.5969 0.0000
2.6473 5.5969 0.0000
-0.8719 0.0000 3.3648
Sb Br Cl
1 2 1
direct
0.0000 0.0000 0.0000
0.0000 0.5000 0.5000
0.5000 0.0000 0.5000
0.5000 0.5000 0.0000

Record 22
ScReCl3 | Alexandria via LeMat-Bulk | meta-GGA SCAN | PBEsol geometry; total moment = 0.141 μB per atom; uncorrected formation energy = 0.187 eV per atom
1.0
4.7063 0.0000 0.0000
0.0000 4.7063 0.0000
0.0000 0.0000 4.7063
Sc Re Cl
1 1 3
direct
0.0000 0.0000 0.0000
0.5000 0.5000 0.5000
0.0000 0.5000 0.5000
0.5000 0.0000 0.5000
0.5000 0.5000 0.0000

Record 23
In5Hg4 | Alexandria via LeMat-Bulk | meta-GGA SCAN | PBEsol geometry; total moment = 0.000 μB per atom; ΔE to the lowest computed polymorph = 0.0179 eV per atom; formation energy = 58 meV/atom
1.0
-4.8716 4.8716 2.2817
4.8716 -4.8716 2.2817
4.8716 4.8716 -2.2817
In Hg
5 4
direct
0.0000 0.0000 0.0000
0.3314 0.3314 0.6627
0.3314 0.6686 0.0000
0.6686 0.3314 0.0000
0.6686 0.6686 0.3372
0.0000 0.3344 0.3344
0.0000 0.6656 0.6656
0.3344 0.0000 0.3344
0.6656 0.0000 0.6656

Record 24
Y2AgAu | Alexandria via LeMat-Bulk | meta-GGA SCAN | PBEsol geometry; total moment = 0.000 μB per atom; formation energy = -785 meV/atom
1.0
3.5630 0.0000 0.0000
0.0000 3.5630 0.0000
0.0000 0.0000 7.1173
Y Ag Au
2 1 1
direct
0.0000 0.0000 0.2453
0.0000 0.0000 0.7547
0.5000 0.5000 0.5000
0.5000 0.5000 0.0000

Record 25
ZnAg2Ru | Alexandria via LeMat-Bulk | meta-GGA SCAN | PBEsol geometry; total moment = 0.001 μB per atom; formation energy = 184 meV/atom
1.0
1.3794 0.7964 9.0088
-1.3794 0.7964 9.0088
0.0000 -1.5928 9.0088
Zn Ag Ru
1 2 1
direct
0.0000 0.0000 0.0000
0.5048 0.5048 0.5048
0.7494 0.7494 0.7494
0.2572 0.2572 0.2572

Record 26
YMg2Cu | Alexandria via LeMat-Bulk | meta-GGA SCAN | PBEsol geometry; total moment = 0.000 μB per atom; formation energy = -180 meV/atom
1.0
-2.3093 2.3093 7.9473
2.3093 -2.3093 7.9473
2.3093 2.3093 -7.9473
Y Mg Cu
2 4 2
direct
0.1489 0.1489 0.0000
0.8511 0.8511 0.0000
0.0000 0.5000 0.5000
0.3519 0.3519 0.0000
0.5000 0.0000 0.5000
0.6481 0.6481 0.0000
0.2500 0.7500 0.5000
0.7500 0.2500 0.5000

Record 27
Al2FeCS | Alexandria via LeMat-Bulk | meta-GGA SCAN | PBEsol geometry; total moment = 0.477 μB per atom; uncorrected formation energy = 0.251 eV per atom
1.0
4.1442 0.0000 0.0000
0.0000 4.1442 0.0000
0.0000 0.0000 3.7467
Al Fe C S
2 1 1 1
direct
0.0000 0.5000 0.0000
0.5000 0.0000 0.0000
0.0000 0.0000 0.5000
0.0000 0.0000 0.0000
0.5000 0.5000 0.5000